# Na2Cu3Cl6

An optimized crystal structure of Na2Cu3Cl6 (PBE, Alexandria).

a b c (Å): 7.5885 6.7657 14.1886
angles (deg): 92.78 74.49 55.89
Last column: magnetic moment on the atom in μB.
Fractional coordinates of all 22 atoms:
Cu (0.9500, 0.9875, 0.2271)  0.25
Cu (0.5394, 0.7500, 0.2500)  0.22
Cu (0.0500, 0.0125, 0.7729)  0.25
Cu (0.4606, 0.2500, 0.7500)  0.22
Cu (0.8355, 0.4875, 0.7271)  0.25
Cu (0.1645, 0.5125, 0.2729)  0.25
Na (0.6865, 0.1218, 0.0107)  0.00
Na (0.3135, 0.8782, 0.9893)  0.00
Na (0.8190, 0.3782, 0.4893)  0.00
Na (0.1810, 0.6218, 0.5107)  0.00
Cl (0.5334, 0.6160, 0.3843)  0.02
Cl (0.7942, 0.4161, 0.8779)  0.07
Cl (0.2385, 0.2576, 0.3691)  0.05
Cl (0.9118, 0.9161, 0.3779)  0.07
Cl (0.5337, 0.8840, 0.1157)  0.02
Cl (0.2058, 0.5839, 0.1221)  0.07
Cl (0.7615, 0.7424, 0.6309)  0.05
Cl (0.4666, 0.3840, 0.6157)  0.02
Cl (0.1349, 0.7576, 0.8691)  0.05
Cl (0.8651, 0.2424, 0.1309)  0.05
Cl (0.0882, 0.0839, 0.6221)  0.07
Cl (0.4663, 0.1160, 0.8843)  0.02

Calculated values
The uncorrected formation energy is -912 meV per atom. For the size of the total moment, the calculation gives 1.06 μB per formula unit. For the energy, the calculation gives -72.1 eV/cell. The space-group type is C2/c.